Record 1
{"formula": "Sr2YCl", "functional": "PBE", "state": "optimized geometry", "e_above_lowest_polymorph_kj_per_mol_atoms": 18.3, "total_energy_ev_per_fu": -13.90, "formation_energy_uncorrected_ev_per_atom": -0.56, "lattice_angstrom": [[-3.1258, -1.5977, -1.3842], [1.8322, -0.8144, -3.1973], [3.0926, -9.7338, 4.2516]], "species": ["Cl", "Sr", "Sr", "Y"], "fractional_positions": [[0.5000, 0.5000, 0.9530], [0.0000, 0.0000, 0.8188], [0.5000, 0.5000, 0.2372], [0.0000, 0.0000, 0.4910]]}

Record 2
{"formula": "LaSmHo2Er", "functional": "PBE", "state": "optimized geometry", "total_energy_ev_per_fu": -22.14, "e_form_mev_per_atom": 244, "lattice_angstrom": [[-4.7135, 2.7247, -1.2792], [-4.6086, -6.1646, 3.8504], [0.3924, 3.6134, 6.2507]], "species": ["La", "La", "Sm", "Sm", "Ho", "Ho", "Ho", "Ho", "Er", "Er"], "fractional_positions": [[0.0000, 0.0000, 0.0000], [0.0000, 0.0000, 0.5000], [0.0001, 0.5000, 0.7500], [0.0000, 0.5000, 0.2500], [0.4998, 0.6819, 0.0000], [0.4998, 0.3181, 0.5000], [0.5002, 0.6819, 0.5001], [0.5002, 0.3181, 0.9999], [0.5001, 0.0000, 0.2500], [0.4999, 0.0000, 0.7500]]}

Record 3
{"formula": "MgAl4Ni", "functional": "PBE", "state": "optimized geometry", "total_energy_ev_per_fu": -21.56, "e_form_mev_per_atom": 131, "lattice_angstrom": [[-1.7126, -1.1898, 4.7904], [-4.8437, -1.8440, 0.6594], [-0.7330, -4.9946, 1.3465]], "species": ["Mg", "Al", "Al", "Al", "Al", "Ni"], "fractional_positions": [[0.2500, 0.2500, 0.2500], [0.6250, 0.6250, 0.1250], [0.6250, 0.1250, 0.6250], [0.6250, 0.6250, 0.6250], [0.1250, 0.6250, 0.6250], [0.0000, 0.0000, 0.0000]]}

Record 4
{"formula": "P2HSCl", "functional": "PBE", "state": "optimized geometry", "e_above_lowest_polymorph_kj_per_mol_atoms": 3.3, "total_energy_ev_per_fu": -14.81, "lattice_angstrom": [[-2.5093, 1.6650, -3.1155], [-2.6659, -3.3998, 0.3303], [-2.0095, 1.8278, 2.5953]], "species": ["P", "P", "S", "H", "Cl"], "fractional_positions": [[0.0000, 0.5000, 0.0000], [0.5000, 0.0000, 0.0000], [0.5000, 0.5000, 0.5000], [0.0000, 0.0000, 0.0000], [0.0000, 0.0000, 0.5000]]}